TmPa2Si6 PBE optimized geometry; energy relative to the elements, uncorrected = -51.7 kJ/mol of atoms; E = -60.8 eV for the cell shown; spin magnetization = 0.00 Bohr magnetons per cell; density of states at the Fermi level = 6.38 states/eV/f.u.; ρ = 8.0 Mg/m³; SG = No. 191
1.0
7.0197 0.0000 0.0000
-3.5098 6.0792 0.0000
0.0000 0.0000 3.8993
Tm Pa Si
1 2 6
Direct
0.0000 0.0000 0.0000
0.3333 0.6667 0.0000
0.6667 0.3333 0.0000
0.0000 0.3335 0.5000
0.0000 0.6665 0.5000
0.3335 0.0000 0.5000
0.3335 0.3335 0.5000
0.6665 0.0000 0.5000
0.6665 0.6665 0.5000

TmPaSi3 PBE optimized geometry; energy relative to the elements, uncorrected = -60.2 kJ/mol of atoms; E = -66.7 eV for the cell shown; spin magnetization = 0.00 Bohr magnetons per cell; density of states at the Fermi level = 4.62 states/eV/f.u.; ρ = 8.3 Mg/m³; SG = No. 63
1.0
2.0235 -12.1663 0.0000
2.0235 12.1663 0.0000
0.0000 0.0000 3.9518
Tm Pa Si
2 2 6
Direct
0.2034 0.7966 0.7500
0.7966 0.2034 0.2500
0.0709 0.9291 0.2500
0.9291 0.0709 0.7500
0.3235 0.6765 0.7500
0.3812 0.6188 0.2500
0.4753 0.5247 0.2500
0.5247 0.4753 0.7500
0.6188 0.3812 0.7500
0.6765 0.3235 0.2500

TmPa2Si PBE optimized geometry; energy relative to the lowest polymorph listed for this composition = 0 meV/atom; energy relative to the elements, uncorrected = -19.0 kJ/mol of atoms; E = -29.7 eV for the cell shown; spin magnetization = 0.00 Bohr magnetons per cell; density of states at the Fermi level = 5.41 states/eV/f.u.; ρ = 12.2 Mg/m³; SG = No. 123
1.0
4.2916 0.0000 0.0000
0.0000 4.2916 0.0000
0.0000 0.0000 4.8745
Tm Pa Si
1 2 1
Direct
0.0000 0.0000 0.0000
0.0000 0.5000 0.5000
0.5000 0.0000 0.5000
0.5000 0.5000 0.0000

TmPaSi2 PBE optimized geometry; energy relative to the lowest polymorph listed for this composition = 0 meV/atom; energy relative to the elements, uncorrected = -58.3 kJ/mol of atoms; E = -54.5 eV for the cell shown; spin magnetization = 0.00 Bohr magnetons per cell; density of states at the Fermi level = 4.17 states/eV/f.u.; ρ = 8.9 Mg/m³; SG = No. 26
1.0
3.8861 0.0000 0.0000
0.0000 5.6365 0.0000
0.0000 0.0000 7.7383
Tm Pa Si
2 2 4
Direct
0.0000 0.1300 0.0000
0.0000 0.8700 0.5000
0.5000 0.3702 0.6398
0.5000 0.6298 0.1398
0.0000 0.3871 0.3603
0.0000 0.6129 0.8603
0.5000 0.1256 0.2824
0.5000 0.8744 0.7824

TmPaSi2 PBE optimized geometry; energy relative to the lowest polymorph listed for this composition = 14 meV/atom; energy relative to the elements, uncorrected = -56.9 kJ/mol of atoms; E = -54.3 eV for the cell shown; spin magnetization = 0.00 Bohr magnetons per cell; density of states at the Fermi level = 4.71 states/eV/f.u.; ρ = 8.9 Mg/m³; SG = No. 38
1.0
3.9331 0.0000 0.0000
0.0000 4.1650 0.0000
0.0000 0.0000 10.4007
Tm Pa Si
2 2 4
Direct
0.0000 0.0000 0.0000
0.0000 0.5000 0.5000
0.5000 0.0000 0.7201
0.5000 0.5000 0.2201
0.0000 0.0000 0.2756
0.0000 0.5000 0.7756
0.5000 0.0000 0.4331
0.5000 0.5000 0.9331

TmPaSi4 PBE optimized geometry; energy relative to the lowest polymorph listed for this composition = 86 meV/atom; energy relative to the elements, uncorrected = -25.7 kJ/mol of atoms; E = -37.3 eV for the cell shown; spin magnetization = 0.00 Bohr magnetons per cell; density of states at the Fermi level = 5.22 states/eV/f.u.; ρ = 8.2 Mg/m³; SG = No. 216
1.0
0.0000 3.7332 3.7332
3.7332 0.0000 3.7332
3.7332 3.7332 0.0000
Tm Pa Si
1 1 4
Direct
0.0000 0.0000 0.0000
0.7500 0.7500 0.7500
0.3724 0.3724 0.3724
0.3724 0.3724 0.8828
0.3724 0.8828 0.3724
0.8828 0.3724 0.3724

TmPaSi4 PBE optimized geometry; energy relative to the lowest polymorph listed for this composition = 0 meV/atom; energy relative to the elements, uncorrected = -34.0 kJ/mol of atoms; E = -151.1 eV for the cell shown; spin magnetization = 0.00 Bohr magnetons per cell; density of states at the Fermi level = 4.35 states/eV/f.u.; ρ = 7.2 Mg/m³; SG = No. 55
1.0
8.3874 0.0000 0.0000
0.0000 14.3256 0.0000
0.0000 0.0000 3.9111
Tm Pa Si
4 4 16
Direct
0.1337 0.0837 0.0000
0.3663 0.5837 0.0000
0.6337 0.4163 0.0000
0.8663 0.9163 0.0000
0.0964 0.3669 0.0000
0.4036 0.8669 0.0000
0.5964 0.1331 0.0000
0.9036 0.6331 0.0000
0.0373 0.2146 0.5000
0.1261 0.5313 0.5000
0.1453 0.9228 0.5000
0.1867 0.6919 0.5000
0.3133 0.1919 0.5000
0.3547 0.4228 0.5000
0.3739 0.0313 0.5000
0.4627 0.7146 0.5000
0.5373 0.2854 0.5000
0.6261 0.9687 0.5000
0.6453 0.5772 0.5000
0.6867 0.8081 0.5000
0.8133 0.3081 0.5000
0.8547 0.0772 0.5000
0.8739 0.4687 0.5000
0.9627 0.7854 0.5000

UPaSi2 PBE optimized geometry; energy relative to the lowest polymorph listed for this composition = 76 meV/atom; energy relative to the elements, uncorrected = -20.0 kJ/mol of atoms; E = -32.5 eV for the cell shown; spin magnetization = 3.05 Bohr magnetons per cell; density of states at the Fermi level = 6.80 states/eV/f.u.; ρ = 11.1 Mg/m³; SG = No. 123
1.0
4.4105 0.0000 0.0000
0.0000 4.4105 0.0000
0.0000 0.0000 4.0519
U Pa Si
1 1 2
Direct
0.0000 0.0000 0.0000
0.5000 0.5000 0.0000
0.0000 0.5000 0.5000
0.5000 0.0000 0.5000

U2PaSi PBE optimized geometry; energy relative to the lowest polymorph listed for this composition = 309 meV/atom; energy relative to the elements, uncorrected = 6.4 kJ/mol of atoms; E = -148.9 eV for the cell shown; spin magnetization = 0.00 Bohr magnetons per cell; density of states at the Fermi level = 9.75 states/eV/f.u.; ρ = 15.5 Mg/m³; SG = No. 225
1.0
6.8102 0.0000 0.0000
0.0000 6.8102 0.0000
0.0000 0.0000 6.8102
U Pa Si
8 4 4
Direct
0.2500 0.2500 0.2500
0.2500 0.2500 0.7500
0.2500 0.7500 0.2500
0.2500 0.7500 0.7500
0.7500 0.2500 0.2500
0.7500 0.2500 0.7500
0.7500 0.7500 0.2500
0.7500 0.7500 0.7500
0.0000 0.0000 0.0000
0.0000 0.5000 0.5000
0.5000 0.0000 0.5000
0.5000 0.5000 0.0000
0.0000 0.0000 0.5000
0.0000 0.5000 0.0000
0.5000 0.0000 0.0000
0.5000 0.5000 0.5000

U2PaSi PBE optimized geometry; energy relative to the lowest polymorph listed for this composition = 0 meV/atom; energy relative to the elements, uncorrected = -23.4 kJ/mol of atoms; E = -38.5 eV for the cell shown; spin magnetization = 0.00 Bohr magnetons per cell; density of states at the Fermi level = 7.00 states/eV/f.u.; ρ = 15.2 Mg/m³; SG = No. 123
1.0
4.2525 0.0000 0.0000
0.0000 4.2525 0.0000
0.0000 0.0000 4.4445
U Pa Si
2 1 1
Direct
0.0000 0.5000 0.0000
0.5000 0.0000 0.0000
0.0000 0.0000 0.5000
0.5000 0.5000 0.5000

UPaSi PBE optimized geometry; energy relative to the lowest polymorph listed for this composition = 484 meV/atom; energy relative to the elements, uncorrected = 18.5 kJ/mol of atoms; E = -102.5 eV for the cell shown; spin magnetization = 0.00 Bohr magnetons per cell; density of states at the Fermi level = 7.37 states/eV/f.u.; ρ = 12.4 Mg/m³; SG = No. 139
1.0
-5.3390 5.3390 2.3386
5.3390 -5.3390 2.3386
5.3390 5.3390 -2.3386
U Pa Si
4 4 4
Direct
0.0000 0.3770 0.3770
0.0000 0.6230 0.6230
0.3770 0.0000 0.3770
0.6230 0.0000 0.6230
0.2736 0.5000 0.7736
0.5000 0.2736 0.7736
0.5000 0.7264 0.2264
0.7264 0.5000 0.2264
0.1957 0.1957 0.3913
0.1957 0.8043 0.0000
0.8043 0.1957 0.0000
0.8043 0.8043 0.6087

UPa2Si PBE optimized geometry; energy relative to the lowest polymorph listed for this composition = 160 meV/atom; energy relative to the elements, uncorrected = -10.1 kJ/mol of atoms; E = -36.1 eV for the cell shown; spin magnetization = 0.27 Bohr magnetons per cell; density of states at the Fermi level = 9.85 states/eV/f.u.; ρ = 14.2 Mg/m³; SG = No. 123
1.0
3.6852 0.0000 0.0000
0.0000 3.6852 0.0000
0.0000 0.0000 6.2761
U Pa Si
1 2 1
Direct
0.0000 0.0000 0.0000
0.5000 0.5000 0.2564
0.5000 0.5000 0.7436
0.0000 0.0000 0.5000